Entry from Alexandria via LeMat-Bulk: crystalline Li10Zn4O9 at its relaxed geometry (GGA-PBE).

Values from the calculation:
Space group   P4_2/nmc
N(E_F)   0.000 states/eV/f.u.
Crystal system   tetragonal

Cell: 9.830 9.830 4.709 Å, 90.00 90.00 90.00°
Fractional positions:
Li1 0.062 0.106 0.040
Li2 0.062 0.394 0.040
Li3 0.106 0.062 0.540
Li4 0.106 0.438 0.540
Li5 0.250 0.250 0.081
Li6 0.250 0.250 0.581
Li7 0.394 0.062 0.540
Li8 0.394 0.438 0.540
Li9 0.438 0.106 0.040
Li10 0.438 0.394 0.040
Li11 0.562 0.606 0.960
Li12 0.562 0.894 0.960
Li13 0.606 0.562 0.460
Li14 0.606 0.938 0.460
Li15 0.750 0.750 0.419
Li16 0.750 0.750 0.919
Li17 0.894 0.562 0.460
Li18 0.894 0.938 0.460
Li19 0.938 0.606 0.960
Li20 0.938 0.894 0.960
Zn1 0.088 0.750 0.481
Zn2 0.250 0.588 0.019
Zn3 0.250 0.912 0.019
Zn4 0.412 0.750 0.481
Zn5 0.588 0.250 0.519
Zn6 0.750 0.088 0.981
Zn7 0.750 0.412 0.981
Zn8 0.912 0.250 0.519
O1 0.077 0.577 0.250
O2 0.077 0.923 0.250
O3 0.093 0.250 0.321
O4 0.250 0.093 0.821
O5 0.250 0.407 0.821
O6 0.250 0.750 0.750
O7 0.407 0.250 0.321
O8 0.423 0.577 0.250
O9 0.423 0.923 0.250
O10 0.577 0.077 0.750
O11 0.577 0.423 0.750
O12 0.593 0.750 0.679
O13 0.750 0.250 0.250
O14 0.750 0.593 0.179
O15 0.750 0.907 0.179
O16 0.907 0.750 0.679
O17 0.923 0.077 0.750
O18 0.923 0.423 0.750



Entry from Alexandria via LeMat-Bulk: crystalline Mg2IrOs at its relaxed geometry (GGA-PBE).

Values from the calculation:
Space group   Pmmm
Offset from the most stable computed form   155.3 meV per atom
N(E_F)   3.665 states/eV/f.u.
Crystal system   orthorhombic
ΔE_f   0.076 eV per atom

Cell: 2.966 4.421 4.720 Å, 90.00 90.00 90.00°
Fractional positions:
Mg1 0.000 0.000 0.000
Mg2 0.500 0.000 0.500
Ir1 0.000 0.500 0.500
Os1 0.500 0.500 0.000



Entry from Alexandria via LeMat-Bulk: crystalline BaSrTl2 at its relaxed geometry (GGA-PBE).

Values from the calculation:
Space group   Cm
N(E_F)   3.627 states/eV/f.u.
Crystal system   monoclinic
ΔE_f   -0.310 eV per atom

Cell: 13.142 4.021 6.030 Å, 90.00 109.44 90.00°
Fractional positions:
Ba1 0.000 0.000 0.000
Ba2 0.500 0.500 0.000
Sr1 0.294 0.500 0.347
Sr2 0.794 0.000 0.347
Tl1 0.052 0.500 0.525
Tl2 0.246 0.000 0.812
Tl3 0.552 0.000 0.525
Tl4 0.746 0.500 0.812



Entry from Alexandria via LeMat-Bulk: crystalline CsZnF2 at its relaxed geometry (GGA-PBE).

Values from the calculation:
Space group   I-42d
Offset from the most stable computed form   0.0 meV per atom
N(E_F)   0.017 states/eV/f.u.
Crystal system   tetragonal

Cell: 5.899 5.899 10.122 Å, 90.00 90.00 90.00°
Fractional positions:
Cs1 0.000 0.000 0.000
Cs2 0.000 0.500 0.250
Cs3 0.500 0.000 0.750
Cs4 0.500 0.500 0.500
Zn1 0.000 0.000 0.500
Zn2 0.000 0.500 0.750
Zn3 0.500 0.000 0.250
Zn4 0.500 0.500 0.000
F1 0.140 0.250 0.625
F2 0.250 0.640 0.875
F3 0.250 0.860 0.375
F4 0.360 0.250 0.125
F5 0.640 0.750 0.125
F6 0.750 0.140 0.375
F7 0.750 0.360 0.875
F8 0.860 0.750 0.625



Entry from Alexandria via LeMat-Bulk: crystalline LaZrTeCl2 at its relaxed geometry (GGA-PBE).

Values from the calculation:
Space group   P4/mmm
N(E_F)   4.043 states/eV/f.u.
Crystal system   tetragonal

Cell: 5.355 5.355 6.509 Å, 90.00 90.00 90.00°
Fractional positions:
La1 0.000 0.000 0.000
Zr1 0.500 0.500 0.500
Te1 0.000 0.000 0.500
Cl1 0.000 0.500 0.000
Cl2 0.500 0.000 0.000



Entry from Alexandria via LeMat-Bulk: crystalline TaSn3Rh at its relaxed geometry (GGA-PBE).

Values from the calculation:
Space group   Pm-3m
Offset from the most stable computed form   0.0 meV per atom
N(E_F)   3.960 states/eV/f.u.
Crystal system   cubic
ΔE_f   0.845 eV per atom

Cell: 5.027 5.027 5.027 Å, 90.00 90.00 90.00°
Fractional positions:
Ta1 0.000 0.000 0.000
Sn1 0.000 0.500 0.500
Sn2 0.500 0.000 0.500
Sn3 0.500 0.500 0.000
Rh1 0.500 0.500 0.500



| no. | final energy (eV per atom) |
| --- | --- |
| 1 | -4.707 |
| 2 | -5.744 |
| 3 | -2.395 |
| 4 | -3.308 |
| 5 | -4.771 |
| 6 | -5.397 |